Below is a geometry-optimized ScP4Br structure, with properties calculated at the PBE level.

Lattice parameters (Å, degrees): 7.6225 7.6225 7.6225 90.00 90.00 90.00
Closest atoms and distances in Å follow each position.
Space group F-43m (No. 216)
Unique sites:
Sc  0.0000  0.0000  0.0000 [4 per cell]  12 P 3.20, 4 Br 3.30
P  0.1090  0.1090  0.3910 [16 per cell]  3 P 2.35
Br  0.2500  0.2500  0.7500 [4 per cell]  12 P 3.13, 4 Sc 3.30

Values from the calculation:
raw total energy = -4.87 eV per atom
energy relative to the elements, uncorrected = 0.070 eV/atom